The following is a PBE calculation of crystalline MnFe5 at its relaxed geometry, from the Alexandria database. Values from VASP.

Values from the calculation:
The density of states at the Fermi level comes out at 6.635 states/eV per cell. Its space group is Cm. The energy of formation from the pure elements is 0.0607 eV per atom.

```
&SYSTEM
  ibrav = 0, nat = 6, ntyp = 2
/
ATOMIC_SPECIES
Fe 55.84 Fe.upf
Mn 54.94 Mn.upf
CELL_PARAMETERS angstrom
-0.553 1.267 2.037
-0.431 -4.449 1.163
5.190 -1.297 2.216
ATOMIC_POSITIONS angstrom
Fe 1.261 -2.976 2.194
Fe 1.940 -0.925 1.102
Fe -0.981 -3.176 3.198
Fe 3.195 -3.909 3.299
Fe 2.950 -1.506 3.226
Mn -0.309 -1.134 2.110
```

The following is a PBE calculation of crystalline NaAgSnPb at its relaxed geometry, from the Alexandria database. Values from VASP.

Values from the calculation:
The density of states at the Fermi level comes out at 1.844 states/eV per cell. Its space group is F-43m. The energy of formation from the pure elements is -0.0291 eV per atom.

```
&SYSTEM
  ibrav = 0, nat = 4, ntyp = 4
/
ATOMIC_SPECIES
Ag 107.87 Ag.upf
Pb 207.20 Pb.upf
Sn 118.71 Sn.upf
Na 22.99 Na.upf
CELL_PARAMETERS angstrom
5.174 0.000 0.000
2.587 4.481 0.000
2.587 1.494 4.225
ATOMIC_POSITIONS angstrom
Ag 5.174 2.987 2.112
Pb 7.761 4.481 3.168
Sn 2.587 1.494 1.056
Na 0.000 0.000 0.000
```

The following is a PBE calculation of crystalline LiReSi2 at its relaxed geometry, from the Alexandria database. Values from VASP.

Values from the calculation:
Its energy above the lowest structure with this stoichiometry is 0.335 eV per formula unit. The density of states at the Fermi level comes out at 1.526 states/eV per cell. Its space group is R-3m. The formation energy without anion corrections is -65 meV/atom.

```
&SYSTEM
  ibrav = 0, nat = 4, ntyp = 3
/
ATOMIC_SPECIES
Si 28.09 Si.upf
Re 186.21 Re.upf
Li 6.94 Li.upf
CELL_PARAMETERS angstrom
-6.994 -1.989 3.972
-4.995 -2.941 5.920
-5.808 -0.107 5.908
ATOMIC_POSITIONS angstrom
Si -0.123 -0.035 0.109
Si -8.776 -2.484 7.792
Re -13.348 -3.778 11.851
Li -4.449 -1.259 3.950
```